{"formula": "Ce2Al3Ga4", "functional": "GGA-PBE", "state": "optimized geometry", "volume_a3_per_atom": 19.8, "ef_ev_per_atom": -0.45, "magmom_total_mub_per_fu": 0.5, "crystal_system": "orthorhombic", "cell": [[5.888, 0.000, 0.000], [0.000, 7.907, 0.000], [-2.944, 0.000, 7.644]], "species": ["Ga", "Ga", "Ga", "Ga", "Ga", "Ga", "Ga", "Ga", "Al", "Al", "Al", "Al", "Al", "Al", "Ce", "Ce", "Ce", "Ce"], "frac_coords": [[0.680, 0.537, 0.361], [0.820, 0.037, 0.639], [0.698, 0.750, 0.896], [0.198, 0.750, 0.896], [0.802, 0.250, 0.104], [0.180, 0.963, 0.361], [0.320, 0.463, 0.639], [0.302, 0.250, 0.104], [0.530, 0.750, 0.560], [0.470, 0.250, 0.440], [0.500, 0.500, 0.000], [0.000, 0.000, 0.000], [0.030, 0.750, 0.560], [0.970, 0.250, 0.440], [0.887, 0.413, 0.774], [0.613, 0.913, 0.226], [0.387, 0.087, 0.774], [0.113, 0.587, 0.226]]}

***

{"formula": "KLaCO4", "functional": "GGA-PBE", "state": "optimized geometry", "e_above_lowest_polymorph_ev_per_fu": 5.606, "volume_a3_per_atom": 21.8, "formation_energy_uncorrected_ev_per_atom": -1.52, "magmom_total_mub_per_fu": 2.0, "crystal_system": "orthorhombic", "cell": [[5.948, 0.000, 0.000], [0.000, 5.944, 0.000], [0.000, 0.000, 17.302]], "species": ["O", "O", "O", "O", "O", "O", "O", "O", "O", "O", "O", "O", "O", "O", "O", "O", "La", "La", "La", "La", "C", "C", "C", "C", "K", "K", "K", "K"], "frac_coords": [[0.508, 0.750, 0.000], [0.385, 0.865, 0.195], [0.885, 0.635, 0.195], [0.008, 0.750, 0.000], [0.250, 0.500, 0.425], [0.115, 0.135, 0.195], [0.750, 0.500, 0.575], [0.385, 0.635, 0.805], [0.615, 0.135, 0.805], [0.885, 0.865, 0.805], [0.250, 0.000, 0.575], [0.492, 0.250, 0.000], [0.615, 0.365, 0.195], [0.992, 0.250, 0.000], [0.115, 0.365, 0.805], [0.750, 0.000, 0.425], [0.750, 0.000, 0.932], [0.250, 0.000, 0.068], [0.750, 0.500, 0.068], [0.250, 0.500, 0.932], [0.250, 0.000, 0.227], [0.750, 0.500, 0.227], [0.250, 0.500, 0.773], [0.750, 0.000, 0.773], [0.750, 0.500, 0.423], [0.250, 0.500, 0.577], [0.750, 0.000, 0.577], [0.250, 0.000, 0.423]]}

***

{"formula": "TbPm6Y3Tm2", "functional": "GGA-PBE", "state": "optimized geometry", "volume_a3_per_atom": 32.7, "ef_ev_per_atom": 0.01, "magmom_total_mub_per_fu": 0.0, "crystal_system": "monoclinic", "cell": [[6.243, 0.000, 0.009], [-3.120, 5.407, 0.009], [-1.053, -1.823, 11.633]], "species": ["Tm", "Tm", "Pm", "Pm", "Pm", "Pm", "Pm", "Pm", "Y", "Y", "Y", "Tb"], "frac_coords": [[0.333, 0.667, 0.000], [0.667, 0.333, 0.000], [0.250, 0.250, 0.752], [0.750, 0.750, 0.248], [0.583, 0.917, 0.752], [0.917, 0.583, 0.752], [0.417, 0.083, 0.248], [0.083, 0.417, 0.248], [0.167, 0.833, 0.500], [0.500, 0.500, 0.500], [0.833, 0.167, 0.500], [0.000, 0.000, 0.000]]}